(1)
FeCo2I8 | PBE | optimized geometry

Results
energy relative to the elements, uncorrected	0.03	eV per atom
energy	-3.16	eV/atom

Unit cell a=11.501 b=11.590 c=7.860 alpha=90.00 beta=103.39 gamma=90.00
Space group C2/m (No. 12)
Asymmetric unit:
Fe 0.000 0.000 0.000 [2 per cell]
Co 0.131 0.000 0.368 [4 per cell]
I 0.105 0.000 0.698 [4 per cell]
I 0.148 0.172 0.169 [8 per cell]
I 0.148 0.500 0.486 [4 per cell]


(2)
TlNiAg2 | PBE | optimized geometry

Results
DFT formation energy	0.825	eV per formula unit
energy	-3.26	eV/atom
energy above the lowest structure with this stoichiometry	0.0	meV per atom

Unit cell a=11.421 b=3.097 c=4.492 alpha=90.00 beta=112.55 gamma=90.00
Space group C2/m (No. 12)
Asymmetric unit:
Tl 0.000 0.000 0.000 [2 per cell]
Ni 0.000 0.500 0.500 [2 per cell]
Ag 0.211 0.000 0.711 [4 per cell]


(3)
Nb3CoC | PBE | optimized geometry

Results
DFT formation energy	9.027	eV per formula unit
energy	-7.50	eV/atom
energy above the lowest structure with this stoichiometry	2132.0	meV per atom

Unit cell a=4.526 b=4.526 c=4.526 alpha=90.00 beta=90.00 gamma=90.00
Space group Pm-3m (No. 221)
Asymmetric unit:
Nb 0.000 0.000 0.500 [3 per cell]
Co 0.000 0.000 0.000 [1 per cell]
C 0.500 0.500 0.500 [1 per cell]


(4)
Sm6Co2CuCl3 | PBE | optimized geometry

Results
energy relative to the elements, uncorrected	-0.83	eV per atom
energy	-5.17	eV/atom

Unit cell a=6.885 b=11.947 c=7.763 alpha=90.00 beta=107.12 gamma=90.00
Space group C2/m (No. 12)
Asymmetric unit:
Sm 0.215 0.000 0.203 [4 per cell]
Sm 0.244 0.324 0.203 [8 per cell]
Co 0.000 0.167 0.000 [4 per cell]
Cu 0.000 0.500 0.000 [2 per cell]
Cl 0.000 0.000 0.500 [2 per cell]
Cl 0.000 0.330 0.500 [4 per cell]


(5)
SmIrRuO6 | PBE | optimized geometry

Results
energy relative to the elements, uncorrected	-1.37	eV per atom
energy	-7.22	eV/atom

Unit cell a=5.3427 b=5.3427 c=8.7784 alpha=90.00 beta=90.00 gamma=120.00
Space group P-31c (No. 163)
Asymmetric unit:
Sm 0.3333 0.6667 0.2500 [2 per cell]
Ir 0.3333 0.6667 0.7500 [2 per cell]
Ru 0.0000 0.0000 0.0000 [2 per cell]
O 0.0403 0.3398 0.6176 [12 per cell]


(6)
LaZnTe2N | PBE | optimized geometry

Results
energy relative to the elements, uncorrected	-0.09	eV per atom
energy	-4.25	eV/atom
energy above the lowest structure with this stoichiometry	0.0	meV per atom

Unit cell a=5.578 b=5.578 c=3.993 alpha=90.00 beta=90.00 gamma=90.00
Space group P4/mmm (No. 123)
Asymmetric unit:
La 0.000 0.000 0.000 [1 per cell]
Zn 0.500 0.500 0.500 [1 per cell]
Te 0.000 0.500 0.500 [2 per cell]
N 0.500 0.500 0.000 [1 per cell]


| no. | calculated volume (Å³ per atom) |
| --- | --- |
| 1 | 46.33 |
| 2 | 18.34 |
| 3 | 18.54 |
| 4 | 25.43 |
| 5 | 12.06 |
| 6 | 24.85 |